No. 1
The following is a GGA-PBE calculation of crystalline LaAsPb4 at its relaxed geometry, from Alexandria.

Values from the calculation:
ΔH_f (0 K) = 2 kJ per mole of atoms
calculated volume = 184.61 Å³ per cell

a b c (Å): 6.391 6.391 6.391
angles (deg): 60.00 60.00 60.00
Sites, in units of the cell vectors:
1 La 0.000 0.000 0.000
2 As 0.250 0.250 0.250
3 Pb 0.125 0.625 0.625
4 Pb 0.625 0.125 0.625
5 Pb 0.625 0.625 0.125
6 Pb 0.625 0.625 0.625

No. 2
The following is a GGA-PBE calculation of crystalline La2AsPb at its relaxed geometry, from Alexandria.

Values from the calculation:
offset from the most stable computed form = 319.4 meV per atom
ΔH_f (0 K) = -73 kJ per mole of atoms
calculated volume = 115.57 Å³ per cell

a b c (Å): 5.652 5.652 5.652
angles (deg): 125.43 125.43 80.84
Sites, in units of the cell vectors:
1 La 0.250 0.750 0.500
2 La 0.750 0.250 0.500
3 As 0.000 0.000 0.000
4 Pb 0.500 0.500 0.000

No. 3
The following is a GGA-PBE calculation of crystalline LaAsPb2 at its relaxed geometry, from Alexandria.

Values from the calculation:
offset from the most stable computed form = 141.0 meV per atom
ΔH_f (0 K) = -41 kJ per mole of atoms
calculated volume = 112.30 Å³ per cell

a b c (Å): 5.842 5.842 5.842
angles (deg): 130.61 130.61 72.44
Sites, in units of the cell vectors:
1 La 0.000 0.000 0.000
2 As 0.250 0.750 0.500
3 Pb 0.500 0.500 0.000
4 Pb 0.750 0.250 0.500